The following is a GGA-PBE calculation of a geometry-optimized NpPaTeP structure, from Alexandria via LeMat-Bulk.

Cell and atoms, written as CIF:
```
data_NpPaTeP
_symmetry_space_group_name_H-M 'R 3 m'
_symmetry_Int_Tables_number 160
_symmetry_space_group_name_Hall 'R 3 -2"'
_cell_length_a 4.0277
_cell_length_b 4.0277
_cell_length_c 21.9817
_cell_angle_alpha 90.00
_cell_angle_beta 90.00
_cell_angle_gamma 120.00
loop_
_atom_site_label
_atom_site_fract_x
_atom_site_fract_y
_atom_site_fract_z
Np1 0.0000 0.0000 0.0000
Pa1 0.0000 0.0000 0.8031
Te1 0.0000 0.0000 0.2323
P1 0.0000 0.0000 0.4021
```

=====

The following is a GGA-PBE calculation of a geometry-optimized Zn2HgS3 structure, from Alexandria via LeMat-Bulk.

Cell and atoms, written as CIF:
```
data_Zn2HgS3
_symmetry_space_group_name_H-M 'F d d 2'
_symmetry_Int_Tables_number 43
_symmetry_space_group_name_Hall 'F 2 -2d'
_cell_length_a 7.961
_cell_length_b 23.892
_cell_length_c 11.185
_cell_angle_alpha 90.00
_cell_angle_beta 90.00
_cell_angle_gamma 90.00
loop_
_atom_site_label
_atom_site_fract_x
_atom_site_fract_y
_atom_site_fract_z
Zn1 0.000 0.000 0.000
Zn2 0.000 0.000 0.500
Zn3 0.000 0.165 0.000
Hg1 0.003 0.329 0.999
S1 0.001 0.242 0.865
S2 0.016 0.079 0.377
S3 0.017 0.418 0.382
```

=====

The following is a GGA-PBE calculation of a geometry-optimized Cr2FeRuN structure, from Alexandria via LeMat-Bulk.

Cell and atoms, written as CIF:
```
data_Cr2FeRuN
_symmetry_space_group_name_H-M 'P 4/m m m'
_symmetry_Int_Tables_number 123
_symmetry_space_group_name_Hall '-P 4 2'
_cell_length_a 3.823
_cell_length_b 3.823
_cell_length_c 3.780
_cell_angle_alpha 90.00
_cell_angle_beta 90.00
_cell_angle_gamma 90.00
loop_
_atom_site_label
_atom_site_fract_x
_atom_site_fract_y
_atom_site_fract_z
Cr1 0.000 0.500 0.000
Fe1 0.000 0.000 0.500
Ru1 0.500 0.500 0.500
N1 0.000 0.000 0.000
```

=====

# La5Ni2Au5 (GGA-PBE, relaxed)
data_La5Ni2Au5
_symmetry_space_group_name_H-M 'C 1 2/m 1'
_symmetry_Int_Tables_number 12
_cell_length_a 16.778
_cell_length_b 4.090
_cell_length_c 11.919
_cell_angle_alpha 90.00
_cell_angle_beta 132.61
_cell_angle_gamma 90.00
loop_
_symmetry_equiv_pos_as_xyz
'x,y,z'
'-x,-y,-z'
'-x,y,-z'
'x,-y,z'
'x+1/2,y+1/2,z'
'-x+1/2,-y+1/2,-z'
'-x+1/2,y+1/2,-z'
'x+1/2,-y+1/2,z'
loop_
_atom_site_label
_atom_site_fract_x
_atom_site_fract_y
_atom_site_fract_z
La1 0.000 0.000 0.000
La2 0.105 0.000 0.405
La3 0.195 0.000 0.812
Ni1 0.128 0.500 0.252
Au1 0.000 0.500 0.500
Au2 0.075 0.500 0.863
Au3 0.246 0.500 0.675
# **ΔH_f (0 K)**: -0.69 eV/atom

=====

# YHoTm2 (GGA-PBE, relaxed)
data_YHoTm2
_symmetry_space_group_name_H-M 'R -3 m'
_symmetry_Int_Tables_number 166
_symmetry_space_group_name_Hall '-R 3 2"'
_cell_length_a 3.5201
_cell_length_b 3.5201
_cell_length_c 34.4011
_cell_angle_alpha 90.00
_cell_angle_beta 90.00
_cell_angle_gamma 120.00
loop_
_atom_site_label
_atom_site_fract_x
_atom_site_fract_y
_atom_site_fract_z
Y1 0.0000 0.0000 0.0000
Ho1 0.0000 0.0000 0.5000
Tm1 0.0000 0.0000 0.2495
# **ΔH_f (0 K)**: 0.03 eV/atom

=====

The following is a GGA-PBE calculation of a geometry-optimized BaTaH3 structure, from Alexandria via LeMat-Bulk.

Cell and atoms, written as CIF:
```
data_BaTaH3
_symmetry_space_group_name_H-M 'P m -3 m'
_symmetry_Int_Tables_number 221
_symmetry_space_group_name_Hall '-P 4 2 3'
_cell_length_a 4.457
_cell_length_b 4.457
_cell_length_c 4.457
_cell_angle_alpha 90.00
_cell_angle_beta 90.00
_cell_angle_gamma 90.00
loop_
_atom_site_label
_atom_site_fract_x
_atom_site_fract_y
_atom_site_fract_z
Ba1 0.000 0.000 0.000
Ta1 0.500 0.500 0.500
H1 0.000 0.000 0.500
```

=====

# Tm3Al2Zn7 (GGA-PBE, relaxed)
data_Tm3Al2Zn7
_symmetry_space_group_name_H-M 'C m m m'
_symmetry_Int_Tables_number 65
_symmetry_space_group_name_Hall '-C 2 2'
_cell_length_a 4.446
_cell_length_b 27.957
_cell_length_c 3.665
_cell_angle_alpha 90.00
_cell_angle_beta 90.00
_cell_angle_gamma 90.00
loop_
_atom_site_label
_atom_site_fract_x
_atom_site_fract_y
_atom_site_fract_z
Tm1 0.000 0.000 0.000
Tm2 0.000 0.179 0.000
Al1 0.000 0.359 0.500
Zn1 0.000 0.087 0.500
Zn2 0.000 0.270 0.500
Zn3 0.000 0.426 0.000
Zn4 0.000 0.500 0.500
# **ΔH_f (0 K)**: -0.25 eV/atom

=====

The following is a GGA-PBE calculation of a geometry-optimized PrBSe3 structure, from Alexandria via LeMat-Bulk.

Cell and atoms, written as CIF:
```
data_PrBSe3
_symmetry_space_group_name_H-M 'P -1'
_symmetry_Int_Tables_number 2
_cell_length_a 4.203
_cell_length_b 7.897
_cell_length_c 7.968
_cell_angle_alpha 88.69
_cell_angle_beta 75.15
_cell_angle_gamma 79.68
loop_
_symmetry_equiv_pos_as_xyz
'x,y,z'
'-x,-y,-z'
loop_
_atom_site_label
_atom_site_fract_x
_atom_site_fract_y
_atom_site_fract_z
Pr1 0.159 0.388 0.265
B1 0.096 0.935 0.065
Se1 0.178 0.682 0.006
Se2 0.246 0.999 0.260
Se3 0.458 0.649 0.431
```

=====

The following is a GGA-PBE calculation of a geometry-optimized PmNdSnBr structure, from Alexandria via LeMat-Bulk.

Cell and atoms, written as CIF:
```
data_PmNdSnBr
_symmetry_space_group_name_H-M 'F -4 3 m'
_symmetry_Int_Tables_number 216
_symmetry_space_group_name_Hall 'F -4 2 3'
_cell_length_a 7.689
_cell_length_b 7.689
_cell_length_c 7.689
_cell_angle_alpha 90.00
_cell_angle_beta 90.00
_cell_angle_gamma 90.00
loop_
_atom_site_label
_atom_site_fract_x
_atom_site_fract_y
_atom_site_fract_z
Pm1 0.000 0.000 0.000
Nd1 0.000 0.000 0.500
Sn1 0.250 0.250 0.750
Br1 0.250 0.250 0.250
```

=====

# Nb2CoSnRh (GGA-PBE, relaxed)
data_Nb2CoSnRh
_symmetry_space_group_name_H-M 'P 4/m m m'
_symmetry_Int_Tables_number 123
_symmetry_space_group_name_Hall '-P 4 2'
_cell_length_a 5.023
_cell_length_b 5.023
_cell_length_c 4.443
_cell_angle_alpha 90.00
_cell_angle_beta 90.00
_cell_angle_gamma 90.00
loop_
_atom_site_label
_atom_site_fract_x
_atom_site_fract_y
_atom_site_fract_z
Nb1 0.000 0.500 0.000
Co1 0.000 0.000 0.500
Sn1 0.000 0.000 0.000
Rh1 0.500 0.500 0.500
# **ΔH_f (0 K)**: 1.72 eV/atom

=====

The following is a GGA-PBE calculation of a geometry-optimized Pm2Fe2Si2B structure, from Alexandria via LeMat-Bulk.

Cell and atoms, written as CIF:
```
data_Pm2Fe2Si2B
_symmetry_space_group_name_H-M 'C 1 2/m 1'
_symmetry_Int_Tables_number 12
_cell_length_a 10.791
_cell_length_b 4.073
_cell_length_c 7.027
_cell_angle_alpha 90.00
_cell_angle_beta 130.07
_cell_angle_gamma 90.00
loop_
_symmetry_equiv_pos_as_xyz
'x,y,z'
'-x,-y,-z'
'-x,y,-z'
'x,-y,z'
'x+1/2,y+1/2,z'
'-x+1/2,-y+1/2,-z'
'-x+1/2,y+1/2,-z'
'x+1/2,-y+1/2,z'
loop_
_atom_site_label
_atom_site_fract_x
_atom_site_fract_y
_atom_site_fract_z
Pm1 0.060 0.000 0.318
Fe1 0.206 0.500 0.817
Si1 0.175 0.500 0.110
B1 0.000 0.500 0.500
```

=====

The following is a GGA-PBE calculation of a geometry-optimized Pm2ThS3 structure, from Alexandria via LeMat-Bulk.

Cell and atoms, written as CIF:
```
data_Pm2ThS3
_symmetry_space_group_name_H-M 'P 1 21/c 1'
_symmetry_Int_Tables_number 14
_cell_length_a 5.718
_cell_length_b 11.990
_cell_length_c 8.132
_cell_angle_alpha 90.00
_cell_angle_beta 90.01
_cell_angle_gamma 90.00
loop_
_symmetry_equiv_pos_as_xyz
'x,y,z'
'-x,-y,-z'
'-x,y+1/2,-z+1/2'
'x,-y+1/2,z+1/2'
loop_
_atom_site_label
_atom_site_fract_x
_atom_site_fract_y
_atom_site_fract_z
Pm1 0.249 0.247 0.375
Pm2 0.250 0.583 0.873
Th1 0.250 0.584 0.377
S1 0.250 0.082 0.627
S2 0.250 0.084 0.124
S3 0.251 0.749 0.125
```

=====

The following is a GGA-PBE calculation of a geometry-optimized Ho7PBr12 structure, from Alexandria via LeMat-Bulk.

Cell and atoms, written as CIF:
```
data_Ho7PBr12
_symmetry_space_group_name_H-M 'R -3'
_symmetry_Int_Tables_number 148
_symmetry_space_group_name_Hall '-R 3'
_cell_length_a 14.6573
_cell_length_b 14.6573
_cell_length_c 9.7861
_cell_angle_alpha 90.00
_cell_angle_beta 90.00
_cell_angle_gamma 120.00
loop_
_atom_site_label
_atom_site_fract_x
_atom_site_fract_y
_atom_site_fract_z
Ho1 0.0000 0.0000 0.0000
Ho2 0.0451 0.1638 0.3507
P1 0.0000 0.0000 0.5000
Br1 0.0233 0.5861 0.1627
Br2 0.0495 0.1788 0.8376
```

=====

The following is a GGA-PBE calculation of a geometry-optimized TlV6S8 structure, from Alexandria via LeMat-Bulk.

Cell and atoms, written as CIF:
```
data_TlV6S8
_symmetry_space_group_name_H-M 'P -3'
_symmetry_Int_Tables_number 147
_cell_length_a 9.2121
_cell_length_b 9.2121
_cell_length_c 3.2420
_cell_angle_alpha 90.00
_cell_angle_beta 90.00
_cell_angle_gamma 120.00
loop_
_symmetry_equiv_pos_as_xyz
'x,y,z'
'-x,-y,-z'
'-y,x-y,z'
'y,-x+y,-z'
'-x+y,-x,z'
'x-y,x,-z'
loop_
_atom_site_label
_atom_site_fract_x
_atom_site_fract_y
_atom_site_fract_z
Tl1 0.0000 0.0000 0.0000
V1 0.1154 0.6259 0.7520
S1 0.0530 0.3481 0.7457
S2 0.3333 0.6667 0.2512
```

=====

The following is a GGA-PBE calculation of a geometry-optimized Na2HfGaSe5 structure, from Alexandria via LeMat-Bulk.

Cell and atoms, written as CIF:
```
data_Na2HfGaSe5
_symmetry_space_group_name_H-M 'C m c 21'
_symmetry_Int_Tables_number 36
_cell_length_a 3.693
_cell_length_b 18.471
_cell_length_c 13.852
_cell_angle_alpha 90.00
_cell_angle_beta 90.00
_cell_angle_gamma 90.00
loop_
_symmetry_equiv_pos_as_xyz
'x,y,z'
'-x,-y,z+1/2'
'-x,y,z'
'x,-y,z+1/2'
'x+1/2,y+1/2,z'
'-x+1/2,-y+1/2,z+1/2'
'-x+1/2,y+1/2,z'
'x+1/2,-y+1/2,z+1/2'
loop_
_atom_site_label
_atom_site_fract_x
_atom_site_fract_y
_atom_site_fract_z
Na1 0.000 0.102 0.000
Na2 0.000 0.125 0.663
Hf1 0.000 0.217 0.380
Ga1 0.000 0.431 0.766
Se1 0.000 0.060 0.380
Se2 0.000 0.286 0.014
Se3 0.000 0.299 0.736
Se4 0.000 0.354 0.341
Se5 0.000 0.495 0.617
```

=====

The following is a GGA-PBE calculation of a geometry-optimized Ac2TlI structure, from Alexandria via LeMat-Bulk.

Cell and atoms, written as CIF:
```
data_Ac2TlI
_symmetry_space_group_name_H-M 'P 4/m m m'
_symmetry_Int_Tables_number 123
_symmetry_space_group_name_Hall '-P 4 2'
_cell_length_a 3.979
_cell_length_b 3.979
_cell_length_c 8.951
_cell_angle_alpha 90.00
_cell_angle_beta 90.00
_cell_angle_gamma 90.00
loop_
_atom_site_label
_atom_site_fract_x
_atom_site_fract_y
_atom_site_fract_z
Ac1 0.000 0.000 0.237
Tl1 0.500 0.500 0.000
I1 0.500 0.500 0.500
```

=====

# La4Tb2Dy (GGA-PBE, relaxed)
data_La4Tb2Dy
_symmetry_space_group_name_H-M 'F d d 2'
_symmetry_Int_Tables_number 43
_symmetry_space_group_name_Hall 'F 2 -2d'
_cell_length_a 12.145
_cell_length_b 24.667
_cell_length_c 6.555
_cell_angle_alpha 90.00
_cell_angle_beta 90.00
_cell_angle_gamma 90.00
loop_
_atom_site_label
_atom_site_fract_x
_atom_site_fract_y
_atom_site_fract_z
La1 0.047 0.071 0.000
La2 0.069 0.144 0.531
Tb1 0.021 0.217 0.049
Dy1 0.000 0.000 0.501
# **ΔH_f (0 K)**: 0.07 eV/atom

=====

# Nd2Dy2Y7 (GGA-PBE, relaxed)
data_Nd2Dy2Y7
_symmetry_space_group_name_H-M 'C 1 2/m 1'
_symmetry_Int_Tables_number 12
_cell_length_a 9.515
_cell_length_b 9.301
_cell_length_c 8.511
_cell_angle_alpha 90.00
_cell_angle_beta 102.05
_cell_angle_gamma 90.00
loop_
_symmetry_equiv_pos_as_xyz
'x,y,z'
'-x,-y,-z'
'-x,y,-z'
'x,-y,z'
'x+1/2,y+1/2,z'
'-x+1/2,-y+1/2,-z'
'-x+1/2,y+1/2,-z'
'x+1/2,-y+1/2,z'
loop_
_atom_site_label
_atom_site_fract_x
_atom_site_fract_y
_atom_site_fract_z
Nd1 0.108 0.000 0.362
Dy1 0.000 0.318 0.000
Y1 0.000 0.500 0.500
Y2 0.189 0.000 0.022
Y3 0.200 0.201 0.693
# **ΔH_f (0 K)**: 0.18 eV/atom

=====

# Be2CuTc (GGA-PBE, relaxed)
data_Be2CuTc
_symmetry_space_group_name_H-M 'I -4 m 2'
_symmetry_Int_Tables_number 119
_symmetry_space_group_name_Hall 'I -4 -2'
_cell_length_a 3.300
_cell_length_b 3.300
_cell_length_c 7.955
_cell_angle_alpha 90.00
_cell_angle_beta 90.00
_cell_angle_gamma 90.00
loop_
_atom_site_label
_atom_site_fract_x
_atom_site_fract_y
_atom_site_fract_z
Be1 0.000 0.000 0.000
Be2 0.000 0.500 0.250
Cu1 0.000 0.500 0.750
Tc1 0.000 0.000 0.500
# **ΔH_f (0 K)**: 0.05 eV/atom

=====

# Ba6TlCu2 (GGA-PBE, relaxed)
data_Ba6TlCu2
_symmetry_space_group_name_H-M 'I m m m'
_symmetry_Int_Tables_number 71
_symmetry_space_group_name_Hall '-I 2 2'
_cell_length_a 10.923
_cell_length_b 11.793
_cell_length_c 11.863
_cell_angle_alpha 90.00
_cell_angle_beta 90.00
_cell_angle_gamma 90.00
loop_
_atom_site_label
_atom_site_fract_x
_atom_site_fract_y
_atom_site_fract_z
Ba1 0.000 0.186 0.245
Ba2 0.188 0.500 0.167
Ba3 0.223 0.326 0.500
Tl1 0.000 0.000 0.000
Tl2 0.000 0.000 0.500
Cu1 0.000 0.330 0.000
Cu2 0.000 0.500 0.396
# **ΔH_f (0 K)**: -0.10 eV/atom

=====

The following is a GGA-PBE calculation of a geometry-optimized HOsCN structure, from Alexandria via LeMat-Bulk.

Cell and atoms, written as CIF:
```
data_HOsCN
_symmetry_space_group_name_H-M 'P m m 2'
_symmetry_Int_Tables_number 25
_cell_length_a 2.713
_cell_length_b 3.567
_cell_length_c 4.326
_cell_angle_alpha 90.00
_cell_angle_beta 90.00
_cell_angle_gamma 90.00
loop_
_symmetry_equiv_pos_as_xyz
'x,y,z'
'-x,-y,z'
'-x,y,z'
'x,-y,z'
loop_
_atom_site_label
_atom_site_fract_x
_atom_site_fract_y
_atom_site_fract_z
H1 0.000 0.000 0.000
Os1 0.000 0.500 0.995
C1 0.500 0.500 0.352
N1 0.500 0.500 0.639
```

=====

# Ca2CdPPd (GGA-PBE, relaxed)
data_Ca2CdPPd
_symmetry_space_group_name_H-M 'P 4/m m m'
_symmetry_Int_Tables_number 123
_symmetry_space_group_name_Hall '-P 4 2'
_cell_length_a 5.798
_cell_length_b 5.798
_cell_length_c 4.653
_cell_angle_alpha 90.00
_cell_angle_beta 90.00
_cell_angle_gamma 90.00
loop_
_atom_site_label
_atom_site_fract_x
_atom_site_fract_y
_atom_site_fract_z
Ca1 0.000 0.500 0.000
Cd1 0.000 0.000 0.000
P1 0.000 0.000 0.500
Pd1 0.500 0.500 0.500
# **ΔH_f (0 K)**: 0.32 eV/atom

=====

no.,total energy (eV per atom),magnetic moment (μB/cell)
1,-8.599,14.28
2,-3.108,0.00
3,-9.186,0.08
4,-5.077,0.00
5,-4.968,0.00
6,-3.265,0.00
7,-2.733,0.00
8,-5.272,0.00
9,-4.678,0.00
10,-6.004,1.34
11,-6.878,0.00
12,-6.844,0.00
13,-4.552,0.00
14,-6.945,0.00
15,-4.624,0.40
16,-3.669,0.00
17,-4.726,0.00
18,-5.638,0.00
19,-5.431,0.00
20,-2.550,0.00
21,-7.592,0.00
22,-2.788,0.00